# Tb2PmPaAs4

Tb2PmPaAs4 after structural relaxation (PBE-GGA, Alexandria).

The value obtained for the volume is 25.19 Å³/atom. The space group is No. 10. As for the total energy: -6.68 eV/atom.

Cell lengths 4.152, 7.188, 7.160 Å; angles 109.47, 90.00, 90.00 degrees
Each line ends with the local moment (μB).
Positions (direct):
Tb 0.500 0.000 0.500  0.00
Tb 0.000 0.500 0.500  0.00
Pm 0.000 0.000 0.000  0.00
Pa 0.500 0.500 0.000  0.08
As 0.500 0.258 0.251  0.00
As 0.500 0.742 0.749  0.00
As 0.000 0.256 0.752  0.00
As 0.000 0.744 0.248  0.00